Record 1
DFT (PBE-GGA) results for crystalline AcAl2InAg4 at its relaxed geometry.

The structure belongs to space group R-3m (No. 166, hexagonal axes); the cell edges are 4.5624, 4.5624 and 29.5895 Å and the angles 90.00°, 90.00° and 120.00°. Symmetry generates all atoms from Ac at (0.0000, 0.0000, 0.0000), Al at (0.0000, 0.0000, 0.2493), In at (0.0000, 0.0000, 0.5000), Ag at (0.0000, 0.0000, 0.1225) and Ag at (0.0000, 0.0000, 0.4040).

The volume comes out at 22.23 Å³ per atom. For the mass density, the calculation gives 7.7 g/cm³. Its total magnetic moment is 0.000 Bohr magnetons per cell. The value obtained for the energy of formation is -147.1 meV/atom.

Record 2
DFT (PBE-GGA) results for crystalline Ac2AlInAg6 at its relaxed geometry.

The structure belongs to space group P-1 (No. 2); the cell edges are 5.712, 7.148 and 7.322 Å and the angles 82.03°, 67.26° and 66.69°. Symmetry generates all atoms from Ac at (0.035, 0.218, 0.215), Al at (0.500, 0.000, 0.500), In at (0.500, 0.500, 0.000), Ag at (0.012, 0.240, 0.738), Ag at (0.342, 0.410, 0.413) and Ag at (0.491, 0.763, 0.259).

The volume comes out at 25.32 Å³ per atom. For the mass density, the calculation gives 8.2 g/cm³. Its total magnetic moment is 0.000 Bohr magnetons per cell. The value obtained for the energy of formation is -172.3 meV/atom.

Record 3
DFT (PBE-GGA) results for crystalline Ac2AlIn6Ag at its relaxed geometry.

The structure belongs to space group R-3m (No. 166, hexagonal axes); the cell edges are 7.2254, 7.2254 and 37.9741 Å and the angles 90.00°, 90.00° and 120.00°. Symmetry generates all atoms from Ac at (0.0000, 0.0000, 0.1127), Ac at (0.0000, 0.0000, 0.2901), Al at (0.0000, 0.0000, 0.4294), In at (0.0410, 0.5205, 0.2937), In at (0.0628, 0.5314, 0.8704), Ag at (0.0000, 0.0000, 0.0000) and Ag at (0.0000, 0.0000, 0.5000).

The volume comes out at 28.61 Å³ per atom. For the mass density, the calculation gives 7.4 g/cm³. Its total magnetic moment is 0.000 Bohr magnetons per cell. The value obtained for the energy of formation is -158.5 meV/atom.

Record 4
DFT (PBE-GGA) results for crystalline AcAlIn2Ag4 at its relaxed geometry.

The structure belongs to space group R-3m (No. 166, hexagonal axes); the cell edges are 4.7212, 4.7212 and 28.3365 Å and the angles 90.00°, 90.00° and 120.00°. Symmetry generates all atoms from Ac at (0.0000, 0.0000, 0.0000), Al at (0.0000, 0.0000, 0.5000), In at (0.0000, 0.0000, 0.2478), Ag at (0.0000, 0.0000, 0.1389) and Ag at (0.0000, 0.0000, 0.4052).

The volume comes out at 22.79 Å³ per atom. For the mass density, the calculation gives 8.3 g/cm³. Its total magnetic moment is 0.000 Bohr magnetons per cell. The value obtained for the energy of formation is -166.1 meV/atom.

Record 5
DFT (PBE-GGA) results for crystalline Ac2AlIn3Ag4 at its relaxed geometry.

The structure belongs to space group P-4m2 (No. 115); the cell edges are 4.711, 4.711 and 11.382 Å and the angles 90.00°, 90.00° and 90.00°. Symmetry generates all atoms from Ac at (0.000, 0.500, 0.250), Al at (0.000, 0.000, 0.500), In at (0.000, 0.500, 0.867), In at (0.500, 0.500, 0.500), Ag at (0.000, 0.000, 0.000), Ag at (0.000, 0.500, 0.626) and Ag at (0.500, 0.500, 0.000).

The volume comes out at 25.26 Å³ per atom. For the mass density, the calculation gives 8.3 g/cm³. Its total magnetic moment is 0.000 Bohr magnetons per cell. The value obtained for the energy of formation is -301.5 meV/atom.

Record 6
DFT (PBE-GGA) results for crystalline AcLaAlAg at its relaxed geometry.

The structure belongs to space group P4mm (No. 99); the cell edges are 3.846, 3.846 and 7.941 Å and the angles 90.00°, 90.00° and 90.00°. Symmetry generates all atoms from Ac at (0.000, 0.000, 0.000), La at (0.000, 0.000, 0.491), Al at (0.500, 0.500, 0.259) and Ag at (0.500, 0.500, 0.729).

The volume comes out at 29.36 Å³ per atom. For the mass density, the calculation gives 7.1 g/cm³. Its energy above the most stable polymorph in this dataset is 0 meV per atom. Its total magnetic moment is 0.000 Bohr magnetons per cell. The value obtained for the energy of formation is -280.1 meV/atom.

Record 7
DFT (PBE-GGA) results for crystalline AcLaAlAg at its relaxed geometry.

The structure belongs to space group F-43m (No. 216); the cell edges are 7.815, 7.815 and 7.815 Å and the angles 90.00°, 90.00° and 90.00°. Symmetry generates all atoms from Ac at (0.000, 0.000, 0.000), La at (0.000, 0.000, 0.500), Al at (0.250, 0.250, 0.750) and Ag at (0.250, 0.250, 0.250).

The volume comes out at 29.83 Å³ per atom. For the mass density, the calculation gives 7.0 g/cm³. Its energy above the most stable polymorph in this dataset is 29 meV per atom. Its total magnetic moment is 0.002 Bohr magnetons per cell. The value obtained for the energy of formation is -250.9 meV/atom.

Record 8
DFT (PBE-GGA) results for crystalline LiAcAl3Ag at its relaxed geometry.

The structure belongs to space group Cmcm (No. 63); the cell edges are 6.145, 14.072 and 6.244 Å and the angles 90.00°, 90.00° and 90.00°. Symmetry generates all atoms from Li at (0.000, 0.140, 0.250), Ac at (0.000, 0.199, 0.750), Al at (0.000, 0.378, 0.250), Al at (0.211, 0.000, 0.000) and Ag at (0.000, 0.416, 0.750).

The volume comes out at 22.50 Å³ per atom. For the mass density, the calculation gives 5.2 g/cm³. Its total magnetic moment is 0.000 Bohr magnetons per cell. The value obtained for the energy of formation is -85.6 meV/atom.

Question: What is the formula in the first record?
Answer: AcAl2InAg4

Question: Look up the energy of formation of the sixth one.
Answer: -280.1 meV/atom

What did the third record say?
DFT (PBE-GGA) results for crystalline Ac2AlIn6Ag at its relaxed geometry.

The structure belongs to space group R-3m (No. 166, hexagonal axes); the cell edges are 7.2254, 7.2254 and 37.9741 Å and the angles 90.00°, 90.00° and 120.00°. Symmetry generates all atoms from Ac at (0.0000, 0.0000, 0.1127), Ac at (0.0000, 0.0000, 0.2901), Al at (0.0000, 0.0000, 0.4294), In at (0.0410, 0.5205, 0.2937), In at (0.0628, 0.5314, 0.8704), Ag at (0.0000, 0.0000, 0.0000) and Ag at (0.0000, 0.0000, 0.5000).

The volume comes out at 28.61 Å³ per atom. For the mass density, the calculation gives 7.4 g/cm³. Its total magnetic moment is 0.000 Bohr magnetons per cell. The value obtained for the energy of formation is -158.5 meV/atom.